No. 1
Compound: AlAs
Source: the Alexandria database
Functional: PBE
Structure: relaxed Values from VASP.

The structure in Quantum ESPRESSO input format:
```
&SYSTEM
  ibrav = 0, nat = 4, ntyp = 2
/
ATOMIC_SPECIES
As 74.92 As.upf
Al 26.98 Al.upf
CELL_PARAMETERS angstrom
4.032 0.000 0.000
0.000 4.032 0.000
0.000 0.000 6.591
ATOMIC_POSITIONS angstrom
As 1.008 1.008 1.559
As 3.024 3.024 5.032
Al 1.008 3.024 0.000
Al 3.024 1.008 0.000
```

Results
uncorrected energy	-17.86	eV per cell
energy of formation from the pure elements	-0.270	eV per atom



No. 2
Compound: Pr4Ag3Ru
Source: the Alexandria database
Functional: PBE
Structure: relaxed Values from VASP.

The structure in Quantum ESPRESSO input format:
```
&SYSTEM
  ibrav = 0, nat = 8, ntyp = 3
/
ATOMIC_SPECIES
Pr 140.91 Pr.upf
Ru 101.07 Ru.upf
Ag 107.87 Ag.upf
CELL_PARAMETERS angstrom
3.635 0.000 0.000
0.000 3.635 0.000
0.000 0.000 15.591
ATOMIC_POSITIONS angstrom
Pr 0.000 0.000 13.871
Pr 0.000 0.000 1.720
Pr 0.000 0.000 5.790
Pr 0.000 0.000 9.801
Ru 1.818 1.818 0.000
Ag 1.818 1.818 3.808
Ag 1.818 1.818 7.796
Ag 1.818 1.818 11.783
```

Results
uncorrected energy	-38.68	eV per cell
energy of formation from the pure elements	-0.217	eV per atom



No. 3
Compound: VFeS
Source: the Alexandria database
Functional: PBE
Structure: relaxed Values from VASP.

The structure in Quantum ESPRESSO input format:
```
&SYSTEM
  ibrav = 0, nat = 6, ntyp = 3
/
ATOMIC_SPECIES
V 50.94 V.upf
S 32.06 S.upf
Fe 55.84 Fe.upf
CELL_PARAMETERS angstrom
3.045 0.000 0.000
0.000 3.045 0.000
0.000 0.000 8.324
ATOMIC_POSITIONS angstrom
V 0.000 1.522 5.076
V 1.522 0.000 3.248
S 1.522 0.000 6.064
S 0.000 1.522 2.260
Fe 0.000 1.522 7.767
Fe 1.522 0.000 0.557
```

Results
uncorrected energy	-44.56	eV per cell
formation energy without anion corrections	-0.190	eV per atom
energy above the most stable polymorph in this dataset	121	meV/atom



No. 4
Compound: BiTeHI2
Source: the Alexandria database
Functional: PBE
Structure: relaxed Values from VASP.

The structure in Quantum ESPRESSO input format:
```
&SYSTEM
  ibrav = 0, nat = 5, ntyp = 4
/
ATOMIC_SPECIES
I 126.90 I.upf
H 1.01 H.upf
Te 127.60 Te.upf
Bi 208.98 Bi.upf
CELL_PARAMETERS angstrom
-4.684 0.375 -3.571
3.329 -1.747 -4.550
-0.895 -3.741 0.782
ATOMIC_POSITIONS angstrom
I 1.665 -0.874 -2.275
I -2.342 0.187 -1.786
H 0.000 0.000 0.000
Te -0.448 -1.871 0.391
Bi -1.125 -2.557 -3.670
```

Results
uncorrected energy	-11.43	eV per cell
energy above the most stable polymorph in this dataset	0	meV/atom



No. 5
Compound: CePm2In3Te6
Source: the Alexandria database
Functional: PBE
Structure: relaxed Values from VASP.

The structure in Quantum ESPRESSO input format:
```
&SYSTEM
  ibrav = 0, nat = 12, ntyp = 4
/
ATOMIC_SPECIES
Ce 140.12 Ce.upf
Pm 145.00 Pm.upf
In 114.82 In.upf
Te 127.60 Te.upf
CELL_PARAMETERS angstrom
7.821 -0.001 0.000
-3.909 6.774 0.000
-1.304 -2.258 8.125
ATOMIC_POSITIONS angstrom
Ce 0.000 0.000 0.000
Pm 0.002 4.515 0.000
Pm 3.910 2.258 0.000
In -2.602 4.514 4.063
In 5.210 0.002 4.063
In 1.304 2.258 4.063
Te 3.920 2.243 6.296
Te 2.600 4.501 1.828
Te -1.312 2.272 1.831
Te -0.016 4.516 6.296
Te 0.008 0.014 6.298
Te 2.624 -0.001 1.831
```

Results
uncorrected energy	-54.09	eV per cell
formation energy without anion corrections	-0.966	eV per atom



No. 6
Compound: Ag2SnAsSe4
Source: the Alexandria database
Functional: PBE
Structure: relaxed Values from VASP.

The structure in Quantum ESPRESSO input format:
```
&SYSTEM
  ibrav = 0, nat = 8, ntyp = 4
/
ATOMIC_SPECIES
Ag 107.87 Ag.upf
Sn 118.71 Sn.upf
As 74.92 As.upf
Se 78.96 Se.upf
CELL_PARAMETERS angstrom
6.886 -0.024 -1.205
0.067 4.133 -0.090
-4.752 -1.955 7.525
ATOMIC_POSITIONS angstrom
Ag -1.148 1.731 6.699
Ag -0.548 -0.361 3.088
Sn 2.138 -0.454 5.988
As 2.995 1.792 2.552
Se 0.659 1.455 4.672
Se 4.822 1.773 0.810
Se 1.639 3.426 1.150
Se -2.743 -0.671 5.284
```

Results
uncorrected energy	-29.64	eV per cell
formation energy without anion corrections	-0.168	eV per atom



No. 7
Compound: NdDy3
Source: the Alexandria database
Functional: PBE
Structure: relaxed Values from VASP.

The structure in Quantum ESPRESSO input format:
```
&SYSTEM
  ibrav = 0, nat = 4, ntyp = 2
/
ATOMIC_SPECIES
Nd 144.24 Nd.upf
Dy 162.50 Dy.upf
CELL_PARAMETERS angstrom
3.650 0.000 0.000
0.000 6.281 0.000
-1.825 -3.140 5.720
ATOMIC_POSITIONS angstrom
Nd 0.000 6.270 0.000
Dy 0.000 2.096 2.840
Dy 1.825 3.147 0.000
Dy 1.825 -1.045 2.880
```

Results
uncorrected energy	-18.50	eV per cell
energy of formation from the pure elements	0.020	eV per atom
energy above the most stable polymorph in this dataset	5	meV/atom



No. 8
Compound: Ti2TcBiO
Source: the Alexandria database
Functional: PBE
Structure: relaxed Values from VASP.

The structure in Quantum ESPRESSO input format:
```
&SYSTEM
  ibrav = 0, nat = 5, ntyp = 4
/
ATOMIC_SPECIES
Ti 47.87 Ti.upf
Bi 208.98 Bi.upf
O 16.00 O.upf
Tc 98.00 Tc.upf
CELL_PARAMETERS angstrom
-0.074 4.185 -3.045
-3.050 -2.334 -3.134
-4.079 1.827 2.610
ATOMIC_POSITIONS angstrom
Ti -2.040 0.913 1.305
Ti -0.037 2.093 -1.522
Bi 0.000 0.000 0.000
O -3.602 1.839 -1.784
Tc -1.525 -1.167 -1.567
```

Results
uncorrected energy	-24.86	eV per cell
formation energy without anion corrections	2.026	eV per atom



No. 9
Compound: Na6NiCl12
Source: the Alexandria database
Functional: PBE
Structure: relaxed Values from VASP.

The structure in Quantum ESPRESSO input format:
```
&SYSTEM
  ibrav = 0, nat = 19, ntyp = 3
/
ATOMIC_SPECIES
Na 22.99 Na.upf
Ni 58.69 Ni.upf
Cl 35.45 Cl.upf
CELL_PARAMETERS angstrom
1.233 -5.629 -5.418
4.408 -3.606 5.489
-6.748 -3.233 2.564
ATOMIC_POSITIONS angstrom
Na -2.871 -4.111 2.510
Na -3.309 -7.870 0.300
Na -0.538 -7.222 4.530
Na 1.763 -8.358 0.125
Na 2.201 -4.599 2.335
Na -0.570 -5.247 -1.895
Ni 0.000 0.000 0.000
Cl -2.680 -5.097 -0.078
Cl -0.309 -4.547 3.521
Cl 1.642 -5.515 -0.239
Cl 1.572 -7.372 2.714
Cl -0.799 -7.922 -0.886
Cl -2.750 -6.954 2.874
Cl -0.543 -5.873 7.098
Cl 4.505 -5.265 3.967
Cl -5.384 -4.394 3.932
Cl -0.565 -6.596 -4.463
Cl -5.613 -7.204 -1.331
Cl 4.276 -8.075 -1.297
```

Results
uncorrected energy	-57.17	eV per cell
formation energy without anion corrections	-1.122	eV per atom



No. 10
Compound: Na2RhF8
Source: the Alexandria database
Functional: PBE
Structure: relaxed Values from VASP.

The structure in Quantum ESPRESSO input format:
```
&SYSTEM
  ibrav = 0, nat = 11, ntyp = 3
/
ATOMIC_SPECIES
Na 22.99 Na.upf
Rh 102.91 Rh.upf
F 19.00 F.upf
CELL_PARAMETERS angstrom
4.644 0.124 1.330
1.356 5.785 1.610
0.208 0.072 6.152
ATOMIC_POSITIONS angstrom
Na 4.098 3.985 6.048
Na 2.110 1.996 3.044
Rh 0.000 0.000 0.000
F 4.791 5.587 4.390
F 2.152 4.052 1.794
F 4.993 5.243 7.856
F 1.214 0.739 1.236
F 4.056 1.929 7.298
F 1.417 0.395 4.702
F 2.222 3.400 4.838
F 3.985 2.581 4.254
```

Results
uncorrected energy	-44.51	eV per cell
formation energy without anion corrections	-1.777	eV per atom
energy above the most stable polymorph in this dataset	0	meV/atom



No. 11
Compound: Li2PuTl3
Source: the Alexandria database
Functional: PBE
Structure: relaxed Values from VASP.

The structure in Quantum ESPRESSO input format:
```
&SYSTEM
  ibrav = 0, nat = 6, ntyp = 3
/
ATOMIC_SPECIES
Li 6.94 Li.upf
Pu 244.00 Pu.upf
Tl 204.38 Tl.upf
CELL_PARAMETERS angstrom
-0.274 3.102 -1.608
-3.271 0.340 1.213
3.930 5.103 9.171
ATOMIC_POSITIONS angstrom
Li 1.576 6.068 7.616
Li -1.191 2.476 1.159
Pu 0.193 4.272 4.387
Tl 0.000 0.000 0.000
Tl 2.756 3.578 6.431
Tl 1.174 1.524 2.739
```

Results
uncorrected energy	-26.19	eV per cell
energy of formation from the pure elements	-0.155	eV per atom



No. 12
Compound: YSc2AlN
Source: the Alexandria database
Functional: PBE
Structure: relaxed Values from VASP.

The structure in Quantum ESPRESSO input format:
```
&SYSTEM
  ibrav = 0, nat = 5, ntyp = 4
/
ATOMIC_SPECIES
Y 88.91 Y.upf
Sc 44.96 Sc.upf
Al 26.98 Al.upf
N 14.01 N.upf
CELL_PARAMETERS angstrom
-3.105 1.593 2.775
1.225 -2.981 3.082
3.143 3.092 1.742
ATOMIC_POSITIONS angstrom
Y 1.571 1.546 0.871
Sc 0.612 -1.491 1.541
Sc -1.553 0.797 1.388
Al 0.631 0.852 3.799
N 0.000 0.000 0.000
```

Results
uncorrected energy	-36.23	eV per cell
formation energy without anion corrections	-1.007	eV per atom



No. 13
Compound: NaCd4Pt2
Source: the Alexandria database
Functional: PBE
Structure: relaxed Values from VASP.

The structure in Quantum ESPRESSO input format:
```
&SYSTEM
  ibrav = 0, nat = 14, ntyp = 3
/
ATOMIC_SPECIES
Na 22.99 Na.upf
Cd 112.41 Cd.upf
Pt 195.08 Pt.upf
CELL_PARAMETERS angstrom
-4.230 -1.194 0.011
0.376 -1.410 -8.348
2.271 -8.033 1.459
ATOMIC_POSITIONS angstrom
Na -2.115 -0.597 0.005
Na 1.324 -4.721 -3.444
Cd 0.765 -2.711 -0.143
Cd 1.882 -6.732 -6.745
Cd -0.746 -5.454 -0.622
Cd -0.837 -5.183 -6.256
Cd -0.082 -7.821 -2.348
Cd -1.501 -2.815 -4.529
Cd 0.290 -1.051 -2.602
Cd 2.357 -8.392 -4.287
Pt 1.819 -6.455 -0.878
Pt 0.828 -2.988 -6.011
Pt -0.161 -7.569 -5.080
Pt -1.422 -3.068 -1.797
```

Results
uncorrected energy	-37.29	eV per cell
energy of formation from the pure elements	-0.226	eV per atom



No. 14
Compound: MgTl4Hg5
Source: the Alexandria database
Functional: PBE
Structure: relaxed Values from VASP.

The structure in Quantum ESPRESSO input format:
```
&SYSTEM
  ibrav = 0, nat = 10, ntyp = 3
/
ATOMIC_SPECIES
Mg 24.30 Mg.upf
Tl 204.38 Tl.upf
Hg 200.59 Hg.upf
CELL_PARAMETERS angstrom
3.373 0.000 0.000
0.000 3.373 0.000
0.000 0.000 24.004
ATOMIC_POSITIONS angstrom
Mg 0.000 0.000 0.000
Tl 0.000 0.000 4.361
Tl 3.373 0.000 9.537
Tl 0.000 0.000 14.467
Tl 0.000 0.000 19.643
Hg 1.687 1.687 1.892
Hg 1.687 1.687 6.975
Hg 1.687 1.687 12.002
Hg 1.687 1.687 17.030
Hg 1.687 1.687 22.112
```

Results
uncorrected energy	-12.89	eV per cell
energy of formation from the pure elements	-0.032	eV per atom
energy above the most stable polymorph in this dataset	0	meV/atom



No. 15
Compound: PuPa2Ge2Pd2
Source: the Alexandria database
Functional: PBE
Structure: relaxed Values from VASP.

The structure in Quantum ESPRESSO input format:
```
&SYSTEM
  ibrav = 0, nat = 7, ntyp = 4
/
ATOMIC_SPECIES
Pu 244.00 Pu.upf
Pa 231.04 Pa.upf
Ge 72.64 Ge.upf
Pd 106.42 Pd.upf
CELL_PARAMETERS angstrom
-3.594 -2.606 1.336
-0.326 -4.402 -1.419
2.778 -4.697 6.357
ATOMIC_POSITIONS angstrom
Pu 0.000 0.000 0.000
Pa 1.101 -3.728 3.736
Pa -2.244 -7.977 2.538
Ge -0.646 -8.900 5.034
Ge -0.496 -2.805 1.240
Pd -1.383 -5.383 1.868
Pd 0.241 -6.322 4.406
```

Results
uncorrected energy	-56.23	eV per cell
energy of formation from the pure elements	-0.469	eV per atom



No. 16
Compound: Cd3TePd6
Source: the Alexandria database
Functional: PBE
Structure: relaxed Values from VASP.

The structure in Quantum ESPRESSO input format:
```
&SYSTEM
  ibrav = 0, nat = 20, ntyp = 3
/
ATOMIC_SPECIES
Cd 112.41 Cd.upf
Te 127.60 Te.upf
Pd 106.42 Pd.upf
CELL_PARAMETERS angstrom
-4.233 -1.919 0.947
3.506 -5.942 3.633
-2.051 7.702 6.439
ATOMIC_POSITIONS angstrom
Cd 0.070 -0.806 4.616
Cd -2.847 0.648 6.403
Cd -1.376 3.381 6.640
Cd -1.402 -3.540 4.379
Cd -0.360 2.481 9.359
Cd -2.418 -2.640 1.660
Te 1.030 -1.465 7.575
Te -3.807 1.306 3.444
Pd 0.403 -2.626 2.421
Pd -3.181 2.467 8.598
Pd -0.852 -0.098 1.930
Pd -1.925 -0.060 9.089
Pd -0.141 0.844 7.019
Pd -2.637 -1.002 4.000
Pd -1.150 1.699 4.241
Pd -1.627 -1.857 6.778
Pd 1.402 -3.471 5.174
Pd -4.180 3.313 5.846
Pd -2.628 5.895 6.137
Pd -0.149 -6.053 4.882
```

Results
uncorrected energy	-80.52	eV per cell
formation energy without anion corrections	-0.322	eV per atom